1.
## KPt2 (PBE)

Data for KPt2 after structural relaxation.

Cell: 2.8097 18.9742 4.7294 Å, 90.00 90.00 90.00°
Closest atoms and distances in Å follow each position.
Space group Cmcm (No. 63)
Symmetry-distinct sites (fractional):
K  0.0000  0.0640  0.2500  2 K 2.81
Pt  0.0000  0.2776  0.7500  10 Pt 2.73-2.94
Pt  0.0000  0.3494  0.2500  6 Pt 2.73-2.81

Calculated values
For the energy of formation, the calculation gives 60 kJ/mol of formula units.

---

2.
## NaDy2HoTe4 (PBE)

Data for NaDy2HoTe4 after structural relaxation.

Cell: 7.6107 4.3414 7.6146 Å, 90.00 108.86 90.00°
Closest atoms and distances in Å follow each position.
Space group P2/m (No. 10)
Symmetry-distinct sites (fractional):
Na  0.0000  0.0000  0.0000  6 Te 3.09-3.12
Dy  0.0000  0.5000  0.5000  6 Te 3.10-3.11
Dy  0.5000  0.0000  0.5000  6 Te 3.08-3.10
Ho  0.5000  0.5000  0.0000  6 Te 3.09
Te  0.2509  0.0000  0.7511  2 Ho 3.09, 1 Na 3.09, 3 Dy 3.10-3.11
Te  0.2532  0.5000  0.2521  3 Dy 3.08-3.10, 1 Ho 3.09, 2 Na 3.12

Calculated values
The total energy comes out at -0.175 Ha/atom.

---

3.
## Pr4Cd2Sb (PBE)

Data for Pr4Cd2Sb after structural relaxation.

Cell: 5.4063 5.4063 26.7198 Å, 90.00 90.00 120.00°
Closest atoms and distances in Å follow each position.
Space group R-3m (No. 166, hexagonal axes)
Symmetry-distinct sites (fractional):
Pr  0.0000  0.0000  0.1219  4 Cd 3.32-3.53, 3 Sb 3.34
Pr  0.0000  0.0000  0.3733  4 Cd 3.18-3.29, 1 Sb 3.39
Cd  0.0000  0.0000  0.2541  8 Pr 3.18-3.53
Sb  0.0000  0.0000  0.5000  8 Pr 3.34-3.39

Calculated values
The total energy comes out at -0.143 Ha/atom.

---

4.
## K4Ce3FeSe8 (PBE)

Data for K4Ce3FeSe8 after structural relaxation.

Cell: 8.4988 8.4988 22.9504 Å, 90.00 90.00 120.00°
Closest atoms and distances in Å follow each position.
Space group R-3m (No. 166, hexagonal axes)
Symmetry-distinct sites (fractional):
K  0.0000  0.0000  0.0000  6 Se 3.44
K  0.0000  0.5000  0.0000  6 Se 3.30-3.32
Ce  0.0000  0.5000  0.5000  6 Se 2.94
Fe  0.0000  0.0000  0.5000  6 Se 2.81
Se  0.0000  0.0000  0.2374  3 Ce 2.94
Se  0.0138  0.5069  0.2333  1 Fe 2.81, 2 Ce 2.94

Calculated values
The total energy comes out at -0.185 Ha/atom.

---

5.
## Na2AgGe (PBE)

Data for Na2AgGe after structural relaxation.

Cell: 4.2074 4.2074 4.8090 Å, 90.00 90.00 90.00°
Closest atoms and distances in Å follow each position.
Space group P4/mmm (No. 123)
Symmetry-distinct sites (fractional):
Na  0.0000  0.5000  0.0000  4 Na 2.98, 4 Ge 3.19, 4 Ag 3.19
Ag  0.0000  0.0000  0.5000  4 Ge 2.98, 8 Na 3.19
Ge  0.5000  0.5000  0.5000  4 Ag 2.98, 8 Na 3.19

Calculated values
For the energy of formation, the calculation gives 18 kJ/mol of formula units.

---

6.
## TmIn2I5 (PBE)

Data for TmIn2I5 after structural relaxation.

Cell: 13.9106 9.5202 9.4999 Å, 90.00 90.00 90.00°
Closest atoms and distances in Å follow each position.
Space group Pnma (No. 62)
Symmetry-distinct sites (fractional):
Tm  0.0065  0.2500  0.0776  7 I 3.01-3.22
In  0.1672  0.0032  0.6117  6 I 3.39-3.76
I  0.0030  0.2500  0.4168  1 Tm 3.22, 2 In 3.39
I  0.0563  0.5506  0.1732  2 Tm 3.08-3.17
I  0.2004  0.2500  0.9298  1 Tm 3.04
I  0.2063  0.7500  0.8657  1 Tm 3.01

Calculated values
The total energy comes out at -0.114 Ha/atom.

---

7.
## ErPd6 (PBE)

Data for ErPd6 after structural relaxation.

Cell: 6.9625 6.9625 6.9625 Å, 90.00 90.00 90.00°
Closest atoms and distances in Å follow each position.
Space group Im-3m (No. 229)
Symmetry-distinct sites (fractional):
Er  0.0000  0.0000  0.0000  24 Pd 3.89
Pd  0.0000  0.2500  0.5000  4 Pd 2.46

Calculated values
For the energy of formation, the calculation gives 418 kJ/mol of formula units.

---

8.
## CrFeMo (PBE)

Data for CrFeMo after structural relaxation.

Cell: 3.0628 4.1486 12.3248 Å, 90.00 90.00 90.00°
Closest atoms and distances in Å follow each position.
Space group Fmm2 (No. 42)
Symmetry-distinct sites (fractional):
Cr  0.0000  0.0000  0.0000  2 Fe 2.43, 4 Cr 2.58, 2 Mo 2.63
Fe  0.0000  0.0000  0.6533  2 Cr 2.43, 4 Fe 2.58, 2 Mo 2.63
Mo  0.0000  0.0000  0.3268  4 Mo 2.58, 2 Cr 2.63, 2 Fe 2.63

Calculated values
For the energy of formation, the calculation gives 35 kJ/mol of formula units.

---

9.
## LiOsBr2 (PBE)

Data for LiOsBr2 after structural relaxation.

Cell: 3.7717 4.1168 13.0141 Å, 90.00 90.00 90.00°
Closest atoms and distances in Å follow each position.
Space group Immm (No. 71)
Symmetry-distinct sites (fractional):
Li  0.0000  0.0000  0.0000  4 Br 2.64, 4 Os 2.79
Os  0.0000  0.0000  0.5000  4 Br 2.51, 4 Li 2.79
Br  0.0000  0.5000  0.1271  2 Os 2.51, 2 Li 2.64

Calculated values
The total energy comes out at -0.148 Ha/atom.

---

10.
## Nb7Ru (PBE)

Data for Nb7Ru after structural relaxation.

Cell: 4.6218 4.6218 13.1622 Å, 90.00 90.00 90.00°
Closest atoms and distances in Å follow each position.
Space group I4/mmm (No. 139)
Symmetry-distinct sites (fractional):
Nb  0.0000  0.0000  0.0000  8 Nb 2.82
Nb  0.0000  0.0000  0.2469  8 Nb 2.83-2.88
Nb  0.0000  0.5000  0.1228  2 Ru 2.82, 6 Nb 2.82-2.88
Ru  0.0000  0.0000  0.5000  8 Nb 2.82

Calculated values
For the energy of formation, the calculation gives -112 kJ/mol of formula units.

---

11.
## Li2TlAg2 (PBE)

Data for Li2TlAg2 after structural relaxation.

Cell: 7.6654 7.6654 3.1529 Å, 90.00 90.00 90.00°
Closest atoms and distances in Å follow each position.
Space group P4/mbm (No. 127)
Symmetry-distinct sites (fractional):
Li  0.1472  0.3528  0.0000  6 Ag 2.72-2.77, 2 Tl 2.93
Tl  0.0000  0.0000  0.0000  4 Li 2.93, 2 Tl 3.15
Ag  0.1425  0.6425  0.5000  6 Li 2.72-2.77

Calculated values
For the energy of formation, the calculation gives -57 kJ/mol of formula units.

---

12.
## BeTcSe2 (PBE)

Data for BeTcSe2 after structural relaxation.

Cell: 3.7635 3.7635 8.7419 Å, 90.00 90.00 90.00°
Closest atoms and distances in Å follow each position.
Space group I-4m2 (No. 119)
Symmetry-distinct sites (fractional):
Be  0.0000  0.0000  0.0000  8 Se 2.66-2.88, 4 Tc 2.88
Tc  0.0000  0.5000  0.2500  8 Se 2.66-2.88, 4 Be 2.88
Se  0.0000  0.0000  0.5000  4 Be 2.66, 4 Se 2.88, 4 Tc 2.88
Se  0.0000  0.5000  0.7500  4 Tc 2.66, 4 Se 2.88, 4 Be 2.88

Calculated values
The total energy comes out at -0.171 Ha/atom.

---

13.
## PmScSn (PBE)

Data for PmScSn after structural relaxation.

Cell: 3.4535 3.4535 15.8184 Å, 90.00 90.00 120.00°
Closest atoms and distances in Å follow each position.
Space group P-6m2 (No. 187)
Symmetry-distinct sites (fractional):
Pm  0.0000  0.0000  0.0000  6 Sn 3.35, 6 Pm 3.45
Pm  0.3333  0.6667  0.5000  6 Pm 3.45, 6 Sc 3.46
Sc  0.0000  0.0000  0.3210  3 Sn 3.11, 6 Sc 3.45, 3 Pm 3.46
Sn  0.3333  0.6667  0.1704  3 Sc 3.11, 3 Pm 3.35, 6 Sn 3.45

Calculated values
For the energy of formation, the calculation gives -79 kJ/mol of formula units.

---

14.
## TbPr3Dy2 (PBE)

Data for TbPr3Dy2 after structural relaxation.

Cell: 11.5308 11.6762 6.4554 Å, 90.00 90.00 90.00°
Closest atoms and distances in Å follow each position.
Space group Imma (No. 74)
Symmetry-distinct sites (fractional):
Tb  0.0000  0.2500  0.1978  4 Dy 3.62-3.78, 4 Pr 4.01
Pr  0.2111  0.0000  0.0000  4 Pr 3.35-3.37, 4 Dy 3.37-3.71
Pr  0.2500  0.2500  0.7500  4 Pr 3.37, 4 Dy 3.43
Dy  0.0000  0.0954  0.6840  2 Dy 3.26-3.61, 4 Pr 3.37-3.43, 1 Tb 3.62

Calculated values
For the energy of formation, the calculation gives 179 kJ/mol of formula units.

---

15.
## Y2CrSn (PBE)

Data for Y2CrSn after structural relaxation.

Cell: 8.0959 8.0959 6.5981 Å, 90.00 90.00 90.00°
Closest atoms and distances in Å follow each position.
Space group I-42d (No. 122)
Symmetry-distinct sites (fractional):
Y  0.2313  0.2500  0.1250  2 Cr 2.88, 2 Sn 3.08
Cr  0.0000  0.0000  0.0000  4 Y 2.88
Sn  0.0000  0.0000  0.5000  4 Y 3.08, 2 Cr 3.30

Calculated values
For the energy of formation, the calculation gives 96 kJ/mol of formula units.

---

16.
## CrCoTc2 (PBE)

Data for CrCoTc2 after structural relaxation.

Cell: 2.6595 2.6595 25.5758 Å, 90.00 90.00 120.00°
Closest atoms and distances in Å follow each position.
Space group R3m (No. 160, hexagonal axes)
Symmetry-distinct sites (fractional):
Cr  0.0000  0.0000  0.0000  6 Tc 2.64-2.66, 6 Cr 2.66
Co  0.0000  0.0000  0.8351  6 Tc 2.58-2.63, 6 Co 2.66
Tc  0.0000  0.0000  0.2496  3 Co 2.58, 3 Cr 2.64, 6 Tc 2.66
Tc  0.0000  0.0000  0.4182  3 Co 2.63, 3 Cr 2.66, 6 Tc 2.66

Calculated values
For the energy of formation, the calculation gives 76 kJ/mol of formula units.

---

17.
## TmHfScAl (PBE)

Data for TmHfScAl after structural relaxation.

Cell: 7.0904 7.0904 7.0904 Å, 90.00 90.00 90.00°
Closest atoms and distances in Å follow each position.
Space group F-43m (No. 216)
Symmetry-distinct sites (fractional):
Tm  0.0000  0.0000  0.0000  4 Sc 3.07, 4 Al 3.07
Hf  0.0000  0.0000  0.5000  4 Al 3.07, 4 Sc 3.07
Sc  0.2500  0.2500  0.2500  4 Hf 3.07, 4 Tm 3.07
Al  0.2500  0.2500  0.7500  4 Hf 3.07, 4 Tm 3.07

Calculated values
For the energy of formation, the calculation gives -11 kJ/mol of formula units.

---

18.
## MnTl2FeBr (PBE)

Data for MnTl2FeBr after structural relaxation.

Cell: 5.2574 5.2574 4.4442 Å, 90.00 90.00 90.00°
Closest atoms and distances in Å follow each position.
Space group P4/mmm (No. 123)
Symmetry-distinct sites (fractional):
Mn  0.0000  0.0000  0.0000  2 Fe 2.22
Tl  0.0000  0.5000  0.5000  2 Fe 2.63
Fe  0.0000  0.0000  0.5000  2 Mn 2.22
Br  0.5000  0.5000  0.0000  8 Tl 3.44, 4 Mn 3.72

Calculated values
The total energy comes out at -0.163 Ha/atom.

---

19.
## SrLaIn2Rh (PBE)

Data for SrLaIn2Rh after structural relaxation.

Cell: 5.4115 5.4115 5.2030 Å, 90.00 90.00 90.00°
Closest atoms and distances in Å follow each position.
Space group P4/mmm (No. 123)
Symmetry-distinct sites (fractional):
Sr  0.0000  0.0000  0.0000  8 In 3.75, 4 La 3.83
La  0.5000  0.5000  0.0000  2 Rh 2.60
In  0.0000  0.5000  0.5000  2 Rh 2.71
Rh  0.5000  0.5000  0.5000  2 La 2.60, 4 In 2.71

Calculated values
For the energy of formation, the calculation gives -218 kJ/mol of formula units.

---

20.
## Cs2TaCl2F4 (PBE)

Data for Cs2TaCl2F4 after structural relaxation.

Cell: 12.8993 6.6669 5.4633 Å, 90.00 93.05 90.00°
Closest atoms and distances in Å follow each position.
Space group C2/m (No. 12)
Symmetry-distinct sites (fractional):
Cs  0.1440  0.0000  0.1515  4 F 3.16-3.20, 2 Cl 3.50
Ta  0.0000  0.5000  0.5000  4 F 1.99
Cl  0.1753  0.5000  0.3364  1 Ta 2.48
F  0.0448  0.2782  0.7237  1 Ta 1.99

Calculated values
The total energy comes out at -0.195 Ha/atom.

---

21.
## Li2CoH6 (PBE)

Data for Li2CoH6 after structural relaxation.

Cell: 4.0852 4.0852 8.2514 Å, 90.00 90.00 90.00°
Closest atoms and distances in Å follow each position.
Space group P4_2/mnm (No. 136)
Symmetry-distinct sites (fractional):
Li  0.0000  0.0000  0.1646  6 H 1.90-1.92
Co  0.0000  0.0000  0.5000  6 H 1.53-1.54
H  0.1738  0.1738  0.3598  1 Co 1.53
H  0.2343  0.2343  0.0000  1 Co 1.54

Calculated values
The total energy comes out at -0.126 Ha/atom.

---

22.
## NdScHg6 (PBE)

Data for NdScHg6 after structural relaxation.

Cell: 4.6964 4.6964 8.7923 Å, 90.00 90.00 90.00°
Closest atoms and distances in Å follow each position.
Space group P4/mmm (No. 123)
Symmetry-distinct sites (fractional):
Nd  0.0000  0.0000  0.0000  12 Hg 3.30-3.32
Sc  0.0000  0.0000  0.5000  12 Hg 3.13-3.32
Hg  0.0000  0.5000  0.2640  8 Hg 3.13-3.32, 2 Sc 3.13, 2 Nd 3.30
Hg  0.5000  0.5000  0.0000  8 Hg 3.30, 4 Nd 3.32
Hg  0.5000  0.5000  0.5000  8 Hg 3.13, 4 Sc 3.32

Calculated values
For the energy of formation, the calculation gives -214 kJ/mol of formula units.

---

23.
## DyMnCoB2 (PBE)

Data for DyMnCoB2 after structural relaxation.

Cell: 3.5560 3.5560 9.5677 Å, 90.00 90.00 90.00°
Closest atoms and distances in Å follow each position.
Space group I-4m2 (No. 119)
Symmetry-distinct sites (fractional):
Dy  0.0000  0.0000  0.0000  8 B 2.86, 4 Mn 2.98, 4 Co 2.98
Mn  0.0000  0.5000  0.7500  4 B 2.06
Co  0.0000  0.5000  0.2500  4 B 2.06
B  0.0000  0.0000  0.3582  2 Mn 2.06, 2 Co 2.06

Calculated values
For the energy of formation, the calculation gives -218 kJ/mol of formula units.

---

24.
## Rb6Ba (PBE)

Data for Rb6Ba after structural relaxation.

Cell: 11.4606 11.4606 11.4606 Å, 90.00 90.00 90.00°
Closest atoms and distances in Å follow each position.
Space group Im-3m (No. 229)
Symmetry-distinct sites (fractional):
Rb  0.0000  0.2500  0.5000  4 Rb 4.05
Ba  0.0000  0.0000  0.0000  none within 6

Calculated values
For the energy of formation, the calculation gives 261 kJ/mol of formula units.

---

| no. | total magnetization (μB/cell) |
| --- | --- |
| 1 | 0.0 |
| 2 | 0.0 |
| 3 | 0.0 |
| 4 | 6.0 |
| 5 | 0.0 |
| 6 | 0.0 |
| 7 | 0.0 |
| 8 | 7.2 |
| 9 | 2.0 |
| 10 | 0.0 |
| 11 | 0.0 |
| 12 | 1.4 |
| 13 | 0.0 |
| 14 | 0.0 |
| 15 | 15.4 |
| 16 | 1.6 |
| 17 | 1.9 |
| 18 | 3.6 |
| 19 | 0.0 |
| 20 | 2.0 |
| 21 | 1.6 |
| 22 | 0.0 |
| 23 | 3.7 |
| 24 | 0.0 |